Compound: Ti2MoOs
Source: Alexandria
Functional: PBE
Structure: relaxed Values from VASP.

```
&SYSTEM
  ibrav = 0, nat = 4, ntyp = 3
/
ATOMIC_SPECIES
Ti 47.87 Ti.upf
Mo 95.94 Mo.upf
Os 190.23 Os.upf
CELL_PARAMETERS angstrom
4.423 0.000 0.000
0.000 4.423 0.000
0.000 0.000 3.109
ATOMIC_POSITIONS angstrom
Ti 0.000 2.212 0.000
Ti 2.212 0.000 0.000
Mo 0.000 0.000 1.554
Os 2.212 2.212 1.554
```

N(E_F): 1.031 states/eV per atom
crystal system: tetragonal
magnetization: 0.000 μB/f.u.
theoretical density: 10.4 Mg/m³
DFT total energy: -39.5 eV/cell
space group: No. 123
DFT formation energy: -0.4141 eV per atom